--- a ---
DFT (PBE) results for LaGdH after structural relaxation.

Summary:
The volume is 70.54 Å³ per cell. The calculation puts the total magnetic moment at 7.7 Bohr magnetons per cell.

Cell lengths 3.700, 3.700, 5.950 Å; angles 90.00, 90.00, 120.00 degrees
Site moments in Bohr magnetons follow the coordinates.
Atoms (fractional coordinates):
Gd1 0.333 0.667 0.570  -7.21
La1 0.000 0.000 0.085  -0.06
H1 0.667 0.333 0.346  0.01



--- b ---
DFT (PBE) results for LaGdH after structural relaxation.

Summary:
The volume is 272.63 Å³ per cell. The calculation puts the total magnetic moment at 29.7 Bohr magnetons per cell.

Cell lengths 6.489, 6.441, 6.523 Å; angles 90.00, 90.00, 90.00 degrees
Site moments in Bohr magnetons follow the coordinates.
Atoms (fractional coordinates):
La1 0.646 0.899 0.348  0.00
H1 0.501 0.262 0.493  -0.01
H2 0.501 0.738 0.993  -0.01
La2 0.146 0.101 0.652  0.00
Gd1 0.860 0.597 0.867  7.17
La3 0.146 0.899 0.152  0.00
H3 0.001 0.738 0.507  -0.01
H4 0.001 0.262 0.007  -0.01
Gd2 0.360 0.597 0.633  7.17
Gd3 0.860 0.403 0.367  7.17
Gd4 0.360 0.403 0.133  7.17
La4 0.646 0.101 0.848  0.00



It is a that is the most stable of them.